Here is a relaxed structure of Hf3NbSb4 from Alexandria. Energies are from PBE-GGA.

a b c (Å): 5.381 10.748 6.265
angles (deg): 90.00 90.00 90.00
Sites, in units of the cell vectors:
1 Hf 0.250 0.003 0.148
2 Hf 0.250 0.497 0.148
3 Hf 0.250 0.750 0.853
4 Hf 0.750 0.250 0.147
5 Hf 0.750 0.503 0.852
6 Hf 0.750 0.997 0.852
7 Nb 0.250 0.250 0.852
8 Nb 0.750 0.750 0.148
9 Sb 0.250 0.004 0.671
10 Sb 0.250 0.250 0.327
11 Sb 0.250 0.496 0.671
12 Sb 0.250 0.750 0.329
13 Sb 0.750 0.250 0.671
14 Sb 0.750 0.504 0.329
15 Sb 0.750 0.750 0.673
16 Sb 0.750 0.996 0.329

Results
Raw formation energy, eV/atom: -0.38
Density, g/cm³: 10.224
Energy, eV for the cell shown: -119.0
N(E_F), states/eV/atom: 0.544
Volume, A^3/atom: 22.6